(1)
5
Lattice="4.8591 0.0000 0.0000 0.0000 4.8591 0.0000 0.0000 0.0000 4.8591" Properties=species:S:1:pos:R:3 comment="AlSi3Cl | the Alexandria database | GGA-PBE | optimized geometry" magmom_total_mub_per_cell=0.00 e_form_raw_kj_per_mol_fu=427 crystal_system=cubic e_above_lowest_polymorph_mev_per_atom=0 sg="Pm-3m (221)" energy_ev_per_atom=-3.49 pbc="T T T"
Si 0.0000 2.4296 0.0000
Si 0.0000 0.0000 2.4296
Si 2.4296 0.0000 0.0000
Cl 2.4296 2.4296 2.4296
Al 0.0000 0.0000 0.0000

***

(2)
8
Lattice="-0.4054 3.9416 3.0156 -4.9512 -0.5284 0.0251 -2.0295 -4.0132 9.0837" Properties=species:S:1:pos:R:3 comment="BaRu2Pb | the Alexandria database | GGA-PBE | optimized geometry" magmom_total_mub_per_cell=0.00 crystal_system=tetragonal formation_energy_ev_per_atom=0.562 sg="I-42d (122)" energy_ev_per_atom=-5.48 pbc="T T T"
Ba -2.6783 1.7066 1.5203
Ba -4.8295 -1.4175 5.3146
Ru -3.9502 2.0531 4.8777
Ru -2.2149 -1.5895 7.9464
Ru -2.5738 0.3646 9.4549
Ru -1.4874 2.4417 4.9602
Pb -2.5566 0.8175 6.8098
Pb 0.0000 0.0000 0.0000

***

(3)
18
Lattice="5.3568 0.0000 0.0000 0.0000 8.2480 0.0000 -2.6784 -4.1240 5.0597" Properties=species:S:1:pos:R:3 comment="DyBeNi6B | the Alexandria database | GGA-PBE | optimized geometry" magmom_total_mub_per_cell=0.00 crystal_system=orthorhombic formation_energy_ev_per_atom=-0.048 sg="Imma (74)" energy_ev_per_atom=-5.57 pbc="T T T"
Be 1.3392 -2.0620 2.5299
Be -1.3392 -2.0620 2.5299
B 2.6784 4.1240 0.0000
B 2.6784 0.0000 0.0000
Ni 1.3394 4.3024 1.3159
Ni 1.3390 4.3024 3.7438
Ni 0.0000 6.1860 0.8252
Ni 1.3394 -0.1784 1.3159
Ni 4.0174 4.3024 1.3159
Ni -1.3390 4.3024 3.7438
Ni -1.3390 -0.1784 3.7438
Ni 1.3390 -0.1784 3.7438
Ni 2.6784 2.0620 0.2763
Ni 2.6784 -2.0620 4.2345
Ni 0.0000 2.0620 4.7834
Ni 4.0174 -0.1784 1.3159
Dy 0.0000 2.0620 1.7931
Dy 2.6784 2.0620 3.2666

***

(4)
12
Lattice="4.4767 0.0000 0.0000 -2.2384 7.3865 -0.1295 0.0000 -3.7333 12.1759" Properties=species:S:1:pos:R:3 comment="Ac5Ho2Ge5 | the Alexandria database | GGA-PBE | optimized geometry" magmom_total_mub_per_cell=0.00 crystal_system=monoclinic formation_energy_ev_per_atom=-0.626 sg="C2/m (12)" energy_ev_per_atom=-5.02 pbc="T T T"
Ho 2.2384 5.9799 2.4295
Ho 0.0000 -2.3267 9.6170
Ge 0.0000 0.0000 0.0000
Ge 0.0000 4.0381 2.4072
Ge 2.2384 3.5414 7.0800
Ge 0.0000 0.1118 4.9664
Ge 2.2384 -0.3849 9.6392
Ac 2.2384 2.2529 4.2456
Ac 0.0000 1.4003 7.8009
Ac 2.2384 -1.8667 6.0880
Ac 0.0000 1.4923 11.5006
Ac 2.2384 2.1609 0.5458

***

(5)
15
Lattice="-1.2974 -4.6174 7.3995 7.3679 4.7396 -1.0047 -7.7563 4.1093 1.2043" Properties=species:S:1:pos:R:3 comment="PmPr3Ho3Te8 | the Alexandria database | GGA-PBE | optimized geometry" magmom_total_mub_per_cell=0.00 e_form_raw_kj_per_mol_fu=-2045 crystal_system=trigonal sg="R-3m (166)" energy_ev_per_atom=-5.28 pbc="T T T"
Te -3.0565 1.9017 5.9049
Te -2.2369 -0.1427 2.2714
Te 1.1687 6.5726 1.8048
Te 0.5511 4.3743 5.3276
Te 1.3707 2.3299 1.6942
Te 0.6532 -0.0846 5.3159
Te -2.3390 4.3162 2.2832
Te -2.8546 -2.3410 5.7942
Pr 3.6839 2.3698 -0.5024
Pr 0.0000 0.0000 0.0000
Pr 3.0353 0.0611 3.1974
Ho -4.5268 -0.2540 4.3019
Ho -0.1942 4.4245 0.0998
Ho -0.8429 2.1158 3.7995
Pm -3.8782 2.0547 0.6022

***

(6)
20
Lattice="-0.9511 -1.6497 -2.4377 -6.4702 -4.8823 5.8286 -6.9560 6.8910 -1.9495" Properties=species:S:1:pos:R:3 comment="Na2B2SbPd5 | the Alexandria database | GGA-PBE | optimized geometry" magmom_total_mub_per_cell=0.00 e_form_raw_kj_per_mol_fu=-277 crystal_system=tetragonal sg="P4/mbm (127)" energy_ev_per_atom=-4.90 pbc="T T T"
Pd -9.2431 1.4373 0.6710
Pd -5.1342 -1.0783 0.7703
Pd -3.9536 2.6206 -2.1936
Pd -3.7107 -3.2660 1.6955
Pd -8.2064 -1.4243 2.2031
Pd -2.4511 -1.4797 -0.0049
Pd -11.9263 1.8387 1.4462
Pd -8.1093 -3.7771 3.7575
Pd -6.2681 4.1360 -2.3161
Pd -6.1710 1.7832 -0.7617
Na -5.6328 -2.0824 3.6070
Na -10.0350 0.6657 3.4648
Na -3.3913 1.3430 0.4143
Na -7.7934 4.0911 0.2720
B -8.3634 -1.6739 4.3959
B -5.0629 3.6826 -0.5169
B -10.1338 3.0601 1.8829
B -3.2925 -1.0514 1.9961
Sb 0.0000 0.0000 0.0000
Sb -6.7131 1.0043 1.9395

***

(7)
12
Lattice="7.4892 0.0000 0.0000 -3.7446 6.4858 0.0000 0.0000 0.0000 9.1925" Properties=species:S:1:pos:R:3 comment="Cs3PrAs2S6 | the Alexandria database | GGA-PBE | optimized geometry" magmom_total_mub_per_cell=0.00 e_form_raw_kj_per_mol_fu=-1154 crystal_system=trigonal sg="P-3m1 (164)" energy_ev_per_atom=-4.45 pbc="T T T"
Cs 0.0000 0.0000 0.0000
Cs 3.7446 2.1619 3.2483
Cs 0.0000 4.3239 5.9442
S -1.8088 5.3682 2.8422
S 1.9358 1.1176 6.3503
S 3.7446 4.2506 6.3503
S 0.0000 2.2352 2.8422
S 1.8088 5.3682 2.8422
S 5.5534 1.1176 6.3503
As 3.7446 2.1619 7.2378
As 0.0000 4.3239 1.9547
Pr 0.0000 0.0000 4.5962

***

(8)
10
Lattice="-0.0807 -3.4925 0.6799 1.9177 -0.6155 -2.9343 16.0840 1.6088 10.1738" Properties=species:S:1:pos:R:3 comment="Er5Cd4Ni | the Alexandria database | GGA-PBE | optimized geometry" magmom_total_mub_per_cell=0.00 crystal_system=tetragonal formation_energy_ev_per_atom=-0.326 sg="P4/mmm (123)" energy_ev_per_atom=-3.55 pbc="T T T"
Er 15.6769 -0.5779 8.2081
Er 2.2440 -1.9215 -0.2888
Er 12.2895 -0.9167 6.0654
Er 8.9605 -1.2497 3.9597
Er 5.6315 -1.5826 1.8540
Cd 3.0595 0.3060 1.9353
Cd 13.0245 1.3027 8.2385
Cd 9.6972 0.9699 6.1339
Cd 6.3868 0.6388 4.0399
Ni 0.0000 0.0000 0.0000

***

(9)
10
Lattice="-6.4365 4.3597 2.2427 0.4776 -3.1259 7.4475 2.4409 3.0300 1.1152" Properties=species:S:1:pos:R:3 comment="CaGe2Te2 | the Alexandria database | GGA-PBE | optimized geometry" magmom_total_mub_per_cell=0.00 e_form_raw_kj_per_mol_fu=-142 crystal_system=tetragonal e_above_lowest_polymorph_mev_per_atom=89 sg="P4/mbm (127)" energy_ev_per_atom=-3.80 pbc="T T T"
Te -3.7641 4.0606 4.5513
Te -0.5902 2.1709 2.7386
Te 0.2461 0.2032 6.2541
Te -2.9278 2.0929 8.0668
Ge -0.5970 -0.6581 3.0946
Ge -5.3619 1.8919 6.5955
Ge -3.9385 2.3290 2.2926
Ge -2.0204 -1.0952 7.3975
Ca 0.0000 0.0000 0.0000
Ca -2.9794 0.6169 4.8451

***

(10)
11
Lattice="4.9747 0.0000 0.0000 -2.4874 5.8492 0.0381 0.0000 -3.2785 6.0313" Properties=species:S:1:pos:R:3 comment="Tl2CuC2O6 | the Alexandria database | GGA-PBE | optimized geometry" magmom_total_mub_per_cell=0.22 e_form_raw_kj_per_mol_fu=-1155 crystal_system=monoclinic e_above_lowest_polymorph_mev_per_atom=13 sg="C2/m (12)" energy_ev_per_atom=-6.27 pbc="T T T"
O 2.4874 2.2595 3.9590
O 3.8632 -1.6709 4.4174
O 0.0000 0.3112 2.1104
O -1.3758 4.2415 1.6520
O 1.3758 4.2415 1.6520
O 1.1115 -1.6709 4.4174
C 2.4874 3.4914 4.2698
C 0.0000 -0.9208 1.7996
Tl 0.0000 0.9988 4.8416
Tl 2.4874 1.5719 1.2279
Cu 2.4874 -1.6393 3.0157

***

(11)
5
Lattice="5.7947 0.0000 0.0000 0.0000 5.7947 0.0000 0.0000 0.0000 8.4769" Properties=species:S:1:pos:R:3 comment="KLaMnBr2 | the Alexandria database | GGA-PBE | optimized geometry" magmom_total_mub_per_cell=4.19 e_form_raw_kj_per_mol_fu=-85 crystal_system=tetragonal sg="P4/mmm (123)" energy_ev_per_atom=-3.88 pbc="T T T"
La 0.0000 0.0000 0.0000
Br 2.8973 0.0000 0.0000
Br 0.0000 2.8973 0.0000
K 0.0000 0.0000 4.2385
Mn 2.8973 2.8973 4.2385

***

(12)
5
Lattice="-4.1412 -3.6170 -1.7119 3.6902 -3.4541 -1.6285 -0.0043 -2.4595 5.2070" Properties=species:S:1:pos:R:3 comment="CsBaBi2F | the Alexandria database | GGA-PBE | optimized geometry" magmom_total_mub_per_cell=0.00 e_form_raw_kj_per_mol_fu=-463 crystal_system=tetragonal sg="P4/mmm (123)" energy_ev_per_atom=-3.44 pbc="T T T"
Ba 1.8451 -1.7271 -0.8143
F 0.0000 0.0000 0.0000
Cs -0.2276 -4.7653 0.9333
Bi -0.0021 -1.2298 2.6035
Bi -2.0706 -1.8085 -0.8559